1.
Material: KMn2CoPb
Method: DFT, PBE-GGA
State: relaxed Values from VASP.

Computed properties:
The calculation puts the total magnetic moment at 9.59 μB/cell. For the formation energy, the calculation gives 0.96 eV per atom.

The structure in Quantum ESPRESSO input format:
```
&SYSTEM
  ibrav = 0, nat = 5, ntyp = 4
/
ATOMIC_SPECIES
K 39.10 K.upf
Mn 54.94 Mn.upf
Co 58.93 Co.upf
Pb 207.20 Pb.upf
ATOMIC_POSITIONS crystal
K 0.000 0.000 0.000
Mn 0.000 0.500 0.500
Mn 0.500 0.000 0.500
Co 0.000 0.000 0.500
Pb 0.500 0.500 0.000
CELL_PARAMETERS angstrom
4.778 0.000 0.000
0.000 4.778 0.000
0.000 0.000 5.376
```

2.
Material: LaGeAsP2
Method: DFT, PBE-GGA
State: relaxed Values from VASP.

Computed properties:
The calculation puts the total magnetic moment at 0.00 μB/cell. For the formation energy, the calculation gives 0.93 eV per atom.

The structure in Quantum ESPRESSO input format:
```
&SYSTEM
  ibrav = 0, nat = 5, ntyp = 4
/
ATOMIC_SPECIES
La 138.91 La.upf
Ge 72.64 Ge.upf
As 74.92 As.upf
P 30.97 P.upf
ATOMIC_POSITIONS crystal
La 0.000 0.000 0.000
Ge 0.500 0.500 0.500
As 0.000 0.000 0.500
P 0.000 0.500 0.000
P 0.500 0.000 0.000
CELL_PARAMETERS angstrom
5.420 0.000 0.000
0.000 5.420 0.000
0.000 0.000 5.619
```

3.
Material: Ta2PbSe
Method: DFT, PBE-GGA
State: relaxed Values from VASP.

Computed properties:
The calculation puts the total magnetic moment at 0.00 μB/cell. Its formation energy (no corrections) is 0.51 eV per atom.

The structure in Quantum ESPRESSO input format:
```
&SYSTEM
  ibrav = 0, nat = 4, ntyp = 3
/
ATOMIC_SPECIES
Ta 180.95 Ta.upf
Pb 207.20 Pb.upf
Se 78.96 Se.upf
ATOMIC_POSITIONS crystal
Ta 0.000 0.000 0.000
Ta 0.500 0.000 0.500
Pb 0.000 0.500 0.500
Se 0.500 0.500 0.000
CELL_PARAMETERS angstrom
3.282 0.000 0.000
0.000 4.709 0.000
0.000 0.000 5.228
```